No. 1
Entry from Alexandria: Ac4Pm3PuSe8 after structural relaxation (GGA-PBE).

Cell and atoms, written as POSCAR:
```
Ac4Pm3PuSe8
1.0
4.3151 2.4913 7.1027
-4.3151 2.4913 7.1027
0.0000 -4.9826 7.1027
Ac Pm Pu Se
4 3 1 8
Direct
0.0000 0.0000 0.0000
0.0000 0.5000 0.5000
0.5000 0.0000 0.5000
0.5000 0.5000 0.0000
0.0000 0.0000 0.5000
0.0000 0.5000 0.0000
0.5000 0.0000 0.0000
0.5000 0.5000 0.5000
0.2441 0.2441 0.2441
0.2456 0.7426 0.7426
0.2574 0.2574 0.7544
0.2574 0.7544 0.2574
0.7426 0.2456 0.7426
0.7426 0.7426 0.2456
0.7544 0.2574 0.2574
0.7559 0.7559 0.7559
```

Calculated values
For the uncorrected formation energy, the calculation gives -1808 meV/atom. The density of states at the Fermi level is 16.08 states/eV/f.u. The space group is R-3m (166).

***

No. 2
Entry from Alexandria: PuCdPb2O6 after structural relaxation (GGA-PBE).

Cell and atoms, written as POSCAR:
```
PuCdPb2O6
1.0
5.2943 -2.9907 0.0000
5.2943 2.9907 0.0000
-3.6181 0.0000 5.0616
Pu Cd Pb O
1 1 2 6
Direct
0.0000 0.0000 0.0000
0.5000 0.5000 0.5000
0.2489 0.2489 0.8010
0.7511 0.7511 0.1990
0.1788 0.6817 0.1701
0.2114 0.2114 0.3067
0.3183 0.8212 0.8299
0.6817 0.1788 0.1701
0.7886 0.7886 0.6933
0.8212 0.3183 0.8299
```

Calculated values
For the uncorrected formation energy, the calculation gives -1692 meV/atom. The density of states at the Fermi level is 3.65 states/eV/f.u. The space group is C2/m (12).

***

No. 3
Entry from Alexandria: Co2HRhW after structural relaxation (GGA-PBE).

Cell and atoms, written as POSCAR:
```
Co2HRhW
1.0
3.7578 0.0000 0.0000
0.0000 3.7578 0.0000
0.0000 0.0000 3.7259
Co H Rh W
2 1 1 1
Direct
0.0000 0.5000 0.0000
0.5000 0.0000 0.0000
0.0000 0.0000 0.0000
0.0000 0.0000 0.5000
0.5000 0.5000 0.5000
```

Calculated values
The density of states at the Fermi level is 2.52 states/eV/f.u. For the distance to the lowest polymorph of the same formula, the calculation gives 0.000 kcal/mol of atoms. The space group is P4/mmm (123).

***

No. 4
Entry from Alexandria: Sc2BCl after structural relaxation (GGA-PBE).

Cell and atoms, written as POSCAR:
```
Sc2BCl
1.0
1.6388 0.9462 8.7450
-1.6388 0.9462 8.7450
0.0000 -1.8923 8.7450
Sc B Cl
2 1 1
Direct
0.0888 0.0888 0.0888
0.9112 0.9112 0.9112
0.0000 0.0000 0.0000
0.5000 0.5000 0.5000
```

Calculated values
For the uncorrected formation energy, the calculation gives 300 meV/atom. The density of states at the Fermi level is 4.66 states/eV/f.u. For the distance to the lowest polymorph of the same formula, the calculation gives 25.863 kcal/mol of atoms. The space group is R-3m (166).